[1]
A geometry-optimized CuGe2Os structure. Source: OQMD, functional GGA-PBE.

## Properties
**Calculated total energy**: -5.477 eV/atom
**Theoretical density**: 10.9 g/cm³
**Space group**: F-43m, No. 216
**Size of the total moment**: 0.0 Bohr magnetons per cell

Cell: 4.4166 4.4166 4.4166 Å, 60.00 60.00 60.00°
Atoms (fractional coordinates):
Cu (0.0000, 0.0000, 0.0000)
Ge (0.2500, 0.2500, 0.2500)
Ge (0.5000, 0.5000, 0.5000)
Os (0.7500, 0.7500, 0.7500)

[2]
A geometry-optimized Cu2GeOs structure. Source: OQMD, functional GGA-PBE.

## Properties
**Calculated total energy**: -5.607 eV/atom
**Theoretical density**: 12.2 g/cm³
**Space group**: F-43m, No. 216
**Size of the total moment**: 0.0 Bohr magnetons per cell

Cell: 4.2145 4.2145 4.2145 Å, 60.00 60.00 60.00°
Atoms (fractional coordinates):
Cu (0.0000, 0.0000, 0.0000)
Cu (0.2500, 0.2500, 0.2500)
Ge (0.5000, 0.5000, 0.5000)
Os (0.7500, 0.7500, 0.7500)

[3]
A geometry-optimized CuGeOsPd structure. Source: OQMD, functional GGA-PBE.

## Properties
**Theoretical density**: 12.6 g/cm³
**Space group**: F-43m, No. 216
**Size of the total moment**: 0.0 Bohr magnetons per cell
**Energy relative to the lowest polymorph listed for this composition**: 0 meV/atom

Cell: 4.3254 4.3254 4.3254 Å, 60.00 60.00 60.00°
Atoms (fractional coordinates):
Cu (0.0000, 0.0000, 0.0000)
Ge (0.7500, 0.7500, 0.7500)
Os (0.5000, 0.5000, 0.5000)
Pd (0.2500, 0.2500, 0.2500)

[4]
A geometry-optimized CuReGeOs structure. Source: OQMD, functional GGA-PBE.

## Properties
**Theoretical density**: 14.9 g/cm³
**Space group**: F-43m, No. 216
**Size of the total moment**: 0.0 Bohr magnetons per cell
**Energy relative to the lowest polymorph listed for this composition**: 0 meV/atom

Cell: 4.3213 4.3213 4.3213 Å, 60.00 60.00 60.00°
Atoms (fractional coordinates):
Cu (0.0000, 0.0000, 0.0000)
Re (0.5000, 0.5000, 0.5000)
Ge (0.7500, 0.7500, 0.7500)
Os (0.2500, 0.2500, 0.2500)

[5]
A geometry-optimized CuTcGeOs structure. Source: OQMD, functional GGA-PBE.

## Properties
**Theoretical density**: 12.5 g/cm³
**Space group**: F-43m, No. 216
**Size of the total moment**: 0.5 Bohr magnetons per cell
**Energy relative to the lowest polymorph listed for this composition**: 0 meV/atom

Cell: 4.3045 4.3045 4.3045 Å, 60.00 60.00 60.00°
Atoms (fractional coordinates):
Cu (0.0000, 0.0000, 0.0000)
Tc (0.2500, 0.2500, 0.2500)
Ge (0.7500, 0.7500, 0.7500)
Os (0.5000, 0.5000, 0.5000)

[6]
A geometry-optimized CuGeOsW structure. Source: OQMD, functional GGA-PBE.

## Properties
**Theoretical density**: 14.5 g/cm³
**Space group**: F-43m, No. 216
**Size of the total moment**: 0.0 Bohr magnetons per cell
**Energy relative to the lowest polymorph listed for this composition**: 0 meV/atom

Cell: 4.3525 4.3525 4.3525 Å, 60.00 60.00 60.00°
Atoms (fractional coordinates):
Cu (0.0000, 0.0000, 0.0000)
Ge (0.7500, 0.7500, 0.7500)
Os (0.5000, 0.5000, 0.5000)
W (0.2500, 0.2500, 0.2500)

[7]
A geometry-optimized ZnCuGeOs structure. Source: OQMD, functional GGA-PBE.

## Properties
**Theoretical density**: 11.7 g/cm³
**Space group**: F-43m, No. 216
**Size of the total moment**: 0.0 Bohr magnetons per cell
**Energy relative to the lowest polymorph listed for this composition**: 0 meV/atom

Cell: 4.2841 4.2841 4.2841 Å, 60.00 60.00 60.00°
Atoms (fractional coordinates):
Zn (0.0000, 0.0000, 0.0000)
Cu (0.7500, 0.7500, 0.7500)
Ge (0.5000, 0.5000, 0.5000)
Os (0.2500, 0.2500, 0.2500)

[8]
A geometry-optimized ZnCuGeOs structure. Source: OQMD, functional GGA-PBE.

## Properties
**Theoretical density**: 11.4 g/cm³
**Space group**: F-43m, No. 216
**Size of the total moment**: 0.0 Bohr magnetons per cell
**Energy relative to the lowest polymorph listed for this composition**: 334 meV/atom

Cell: 4.3277 4.3277 4.3277 Å, 60.00 60.00 60.00°
Atoms (fractional coordinates):
Zn (0.0000, 0.0000, 0.0000)
Cu (0.5000, 0.5000, 0.5000)
Ge (0.2500, 0.2500, 0.2500)
Os (0.7500, 0.7500, 0.7500)

[9]
A geometry-optimized ZrCuGeOs structure. Source: OQMD, functional GGA-PBE.

## Properties
**Theoretical density**: 10.7 g/cm³
**Space group**: F-43m, No. 216
**Size of the total moment**: 0.0 Bohr magnetons per cell
**Energy relative to the lowest polymorph listed for this composition**: 208 meV/atom

Cell: 4.5041 4.5041 4.5041 Å, 60.00 60.00 60.00°
Atoms (fractional coordinates):
Zr (0.0000, 0.0000, 0.0000)
Cu (0.5000, 0.5000, 0.5000)
Ge (0.2500, 0.2500, 0.2500)
Os (0.7500, 0.7500, 0.7500)

[10]
A geometry-optimized ZrCuGeOs structure. Source: OQMD, functional GGA-PBE.

## Properties
**Theoretical density**: 11.0 g/cm³
**Space group**: F-43m, No. 216
**Size of the total moment**: 0.0 Bohr magnetons per cell
**Energy relative to the lowest polymorph listed for this composition**: 0 meV/atom

Cell: 4.4661 4.4661 4.4661 Å, 60.00 60.00 60.00°
Atoms (fractional coordinates):
Zr (0.0000, 0.0000, 0.0000)
Cu (0.7500, 0.7500, 0.7500)
Ge (0.5000, 0.5000, 0.5000)
Os (0.2500, 0.2500, 0.2500)

[11]
A geometry-optimized CuSi17Ge13P structure. Source: OQMD, functional GGA-PBE.

## Properties
**Theoretical density**: 3.7 g/cm³
**Space group**: Pm, No. 6
**Energy relative to the lowest polymorph listed for this composition**: 11 meV/atom

Cell: 5.5536 3.9171 31.5135 Å, 90.00 90.72 90.00°
Atoms (fractional coordinates):
Cu (0.0000, 0.0000, 0.0000)
Si (0.0119, 0.0000, 0.8814)
Si (0.2242, 0.0000, 0.0641)
Si (0.2443, 0.0000, 0.3178)
Si (0.2551, 0.0000, 0.5678)
Si (0.4971, 0.5000, 0.5679)
Si (0.5056, 0.5000, 0.1883)
Si (0.5081, 0.5000, 0.4401)
Si (0.5105, 0.5000, 0.6895)
Si (0.7491, 0.5000, 0.1277)
Si (0.7491, 0.5000, 0.7520)
Si (0.7552, 0.5000, 0.6282)
Si (0.7559, 0.5000, 0.3796)
Si (0.7665, 0.5000, 0.0075)
Si (0.7678, 0.5000, 0.8804)
Si (0.9917, 0.0000, 0.1261)
Si (0.9961, 0.0000, 0.3781)
Si (0.9981, 0.0000, 0.6272)
Ge (0.0000, 0.0000, 0.7528)
Ge (0.0075, 0.0000, 0.2535)
Ge (0.0082, 0.0000, 0.5046)
Ge (0.2522, 0.0000, 0.8180)
Ge (0.2538, 0.0000, 0.1885)
Ge (0.2565, 0.0000, 0.4398)
Ge (0.2575, 0.0000, 0.6892)
Ge (0.4827, 0.5000, 0.0646)
Ge (0.4956, 0.5000, 0.3177)
Ge (0.5113, 0.5000, 0.9426)
Ge (0.5175, 0.5000, 0.8165)
Ge (0.7434, 0.5000, 0.5047)
Ge (0.7436, 0.5000, 0.2528)
P (0.2444, 0.0000, 0.9420)

[12]
A geometry-optimized CuSiGeP3 structure. Source: OQMD, functional GGA-PBE.

## Properties
**Calculated total energy**: -5.143 eV/atom
**Theoretical density**: 3.8 g/cm³
**Space group**: Cm, No. 8

Cell: 6.4957 6.4957 5.3565 Å, 114.22 114.22 33.56°
Atoms (fractional coordinates):
Cu (0.0000, 0.0000, 0.0000)
Si (0.3378, 0.3378, 0.3512)
Ge (0.6643, 0.6643, 0.6765)
P (0.1665, 0.1665, 0.4059)
P (0.4958, 0.4958, 0.7581)
P (0.8390, 0.8390, 0.0990)